# 1
First-principles (PBE) data for an optimized crystal structure of NaTlNiPb, as listed in the Open Quantum Materials Database.

Calculated values
Symmetry: F-43m
Offset from the most stable computed form (eV per atom): 0.185

abc: 5.0655 5.0655 5.0655
angles: 60.00 60.00 60.00
Atoms (fractional coordinates):
Na 0.0000 0.0000 0.0000
Tl 0.5000 0.5000 0.5000
Ni 0.7500 0.7500 0.7500
Pb 0.2500 0.2500 0.2500


# 2
First-principles (PBE) data for an optimized crystal structure of NaTlNiPb, as listed in the Open Quantum Materials Database.

Calculated values
Symmetry: F-43m
Offset from the most stable computed form (eV per atom): 0.131

abc: 5.0798 5.0798 5.0798
angles: 60.00 60.00 60.00
Atoms (fractional coordinates):
Na 0.0000 0.0000 0.0000
Tl 0.7500 0.7500 0.7500
Ni 0.2500 0.2500 0.2500
Pb 0.5000 0.5000 0.5000


# 3
First-principles (PBE) data for an optimized crystal structure of NaNiPdS3, as listed in the Open Quantum Materials Database.

Calculated values
Symmetry: P2_1/m

abc: 6.6718 3.4141 9.7793
angles: 90.00 106.32 90.00
Atoms (fractional coordinates):
Na 0.0105 0.2500 0.2957
Na 0.9895 0.7500 0.7043
Ni 0.4166 0.2500 0.1098
Ni 0.5834 0.7500 0.8902
Pd 0.4975 0.7500 0.3402
Pd 0.5025 0.2500 0.6598
S 0.1987 0.7500 0.1185
S 0.2846 0.7500 0.5197
S 0.3522 0.2500 0.8576
S 0.6478 0.7500 0.1424
S 0.7154 0.2500 0.4803
S 0.8013 0.2500 0.8815


# 4
First-principles (PBE) data for an optimized crystal structure of Na4NiSn2Pd, as listed in the Open Quantum Materials Database.

Calculated values
Symmetry: P-4m2

abc: 4.8192 4.8192 6.8322
angles: 90.00 90.00 90.00
Atoms (fractional coordinates):
Na 0.0000 0.0000 0.0000
Na 0.0000 0.5000 0.2490
Na 0.5000 0.0000 0.7510
Na 0.5000 0.5000 0.5000
Ni 0.5000 0.5000 0.0000
Sn 0.0000 0.5000 0.7600
Sn 0.5000 0.0000 0.2400
Pd 0.0000 0.0000 0.5000


In the order shown, the computed uncorrected energy values come out to -11.6 -11.8 -54.0 -24.7 eV for the cell shown.